[1]
BPIrO2 SCAN PBEsol geometry; raw formation energy = 559 meV per atom; DOS at the Fermi energy = 1.98 states/eV per cell; ρ = 6.40 g cm⁻³; total magnetic moment = 0.00 Bohr magnetons per cell
1.0
3.6484 0.0000 0.0000
0.0000 3.6484 0.0000
0.0000 0.0000 5.1818
B P Ir O
1 1 1 2
direct
0.0000 0.0000 0.0000
0.5000 0.5000 0.0000
0.5000 0.5000 0.5000
0.0000 0.5000 0.5000
0.5000 0.0000 0.5000

[2]
ZnAg2Au SCAN PBEsol geometry; DOS at the Fermi energy = 1.84 states/eV per cell; ρ = 12.44 g cm⁻³; E_form = -41 kJ/mol of formula units; total magnetic moment = 0.00 Bohr magnetons per cell
1.0
3.8933 0.0000 0.0000
0.0000 3.8933 0.0000
0.0000 0.0000 8.4183
Zn Ag Au
2 4 2
direct
0.0000 0.0000 0.0000
0.5000 0.5000 0.5000
0.0000 0.5000 0.2500
0.0000 0.5000 0.7500
0.5000 0.0000 0.2500
0.5000 0.0000 0.7500
0.0000 0.0000 0.5000
0.5000 0.5000 0.0000

[3]
LaY2Sc SCAN PBEsol geometry; DOS at the Fermi energy = 15.67 states/eV per cell; ρ = 5.08 g cm⁻³; excess energy over the best structure of this formula in the dataset = 0.7 kJ per mole of atoms; E_form = 29 kJ/mol of formula units; total magnetic moment = 0.01 Bohr magnetons per cell
1.0
3.4804 0.0000 0.0000
-1.7402 3.0141 0.0000
0.0000 0.0000 33.8179
La Y Sc
3 6 3
direct
0.0000 0.0000 0.0000
0.3333 0.6667 0.6667
0.6667 0.3333 0.3333
0.0000 0.0000 0.2455
0.0000 0.0000 0.7545
0.3333 0.6667 0.4212
0.3333 0.6667 0.9122
0.6667 0.3333 0.0878
0.6667 0.3333 0.5788
0.0000 0.0000 0.5000
0.3333 0.6667 0.1667
0.6667 0.3333 0.8333

[4]
SrMnAs SCAN PBEsol geometry; DOS at the Fermi energy = 0.61 states/eV per cell; ρ = 5.10 g cm⁻³; E_form = -242 kJ/mol of formula units; total magnetic moment = 4.02 Bohr magnetons per cell
1.0
4.2761 0.0000 0.0000
-2.1380 3.7032 0.0000
0.0000 0.0000 4.4756
Sr Mn As
1 1 1
direct
0.0000 0.0000 0.0000
0.6667 0.3333 0.5000
0.3333 0.6667 0.5000

[5]
Zr5Ag24 SCAN PBEsol geometry; DOS at the Fermi energy = 12.99 states/eV per cell; ρ = 9.94 g cm⁻³; E_form = 29 kJ/mol of formula units; total magnetic moment = 3.58 Bohr magnetons per cell
1.0
-5.0285 5.0285 5.0285
5.0285 -5.0285 5.0285
5.0285 5.0285 -5.0285
Zr Ag
5 24
direct
0.0000 0.0000 0.0000
0.0000 0.0000 0.6405
0.0000 0.6405 0.0000
0.3595 0.3595 0.3595
0.6405 0.0000 0.0000
0.0000 0.1902 0.3766
0.0000 0.3766 0.1902
0.0000 0.4039 0.6817
0.0000 0.6817 0.4039
0.1865 0.8098 0.8098
0.1902 0.0000 0.3766
0.1902 0.3766 0.0000
0.2777 0.5961 0.5961
0.3183 0.3183 0.7223
0.3183 0.7223 0.3183
0.3766 0.0000 0.1902
0.3766 0.1902 0.0000
0.4039 0.0000 0.6817
0.4039 0.6817 0.0000
0.5961 0.2777 0.5961
0.5961 0.5961 0.2777
0.6234 0.6234 0.8135
0.6234 0.8135 0.6234
0.6817 0.0000 0.4039
0.6817 0.4039 0.0000
0.7223 0.3183 0.3183
0.8098 0.1865 0.8098
0.8098 0.8098 0.1865
0.8135 0.6234 0.6234

[6]
ZrBeCu2Rh SCAN PBEsol geometry; DOS at the Fermi energy = 2.99 states/eV per cell; ρ = 6.07 g cm⁻³; E_form = 887 kJ/mol of formula units; total magnetic moment = 0.00 Bohr magnetons per cell
1.0
4.5443 0.0000 0.0000
0.0000 4.5443 0.0000
0.0000 0.0000 4.3733
Zr Be Cu Rh
1 1 2 1
direct
0.0000 0.0000 0.0000
0.0000 0.0000 0.5000
0.0000 0.5000 0.0000
0.5000 0.0000 0.0000
0.5000 0.5000 0.5000

[7]
NbTe2Ru SCAN PBEsol geometry; raw formation energy = 439 meV per atom; DOS at the Fermi energy = 12.19 states/eV per cell; ρ = 8.84 g cm⁻³; total magnetic moment = 0.00 Bohr magnetons per cell
1.0
3.2644 0.0000 0.0000
-1.6322 2.8271 0.0000
0.0000 0.0000 27.4177
Nb Te Ru
3 6 3
direct
0.0000 0.0000 0.0000
0.3333 0.6667 0.6667
0.6667 0.3333 0.3333
0.0000 0.0000 0.0987
0.0000 0.0000 0.9013
0.3333 0.6667 0.5679
0.3333 0.6667 0.7654
0.6667 0.3333 0.2346
0.6667 0.3333 0.4321
0.0000 0.0000 0.5000
0.3333 0.6667 0.1667
0.6667 0.3333 0.8333

[8]
LiOsS2 SCAN PBEsol geometry; raw formation energy = -34 meV per atom; DOS at the Fermi energy = 6.98 states/eV per cell; ρ = 7.72 g cm⁻³; total magnetic moment = 0.00 Bohr magnetons per cell
1.0
2.8534 0.0000 0.0000
-1.4267 2.4711 0.0000
0.0000 0.0000 23.9203
Li Os S
3 3 6
direct
0.0000 0.0000 0.0000
0.3333 0.6667 0.6667
0.6667 0.3333 0.3333
0.0000 0.0000 0.5000
0.3333 0.6667 0.1667
0.6667 0.3333 0.8333
0.0000 0.0000 0.4072
0.0000 0.0000 0.5928
0.3333 0.6667 0.0739
0.3333 0.6667 0.2594
0.6667 0.3333 0.7406
0.6667 0.3333 0.9261

Question: Look up the total magnetic moment of the second one.
Answer: 0.00 Bohr magnetons per cell